Entry 1:
Na2MnCl4 | PBE | optimized geometry

Cell: 6.969 12.024 3.875 Å, 90.00 90.00 90.00°
Element x y z (fractional)
Na: 0.085 0.180 0.000
Na: 0.415 0.680 0.000
Na: 0.585 0.320 0.000
Na: 0.915 0.820 0.000
Mn: 0.000 0.500 0.500
Mn: 0.500 0.000 0.500
Cl: 0.121 0.695 0.500
Cl: 0.238 0.456 0.000
Cl: 0.262 0.956 0.000
Cl: 0.379 0.195 0.500
Cl: 0.621 0.805 0.500
Cl: 0.738 0.044 0.000
Cl: 0.762 0.544 0.000
Cl: 0.879 0.305 0.500

## Properties
ΔE to the lowest computed polymorph, meV/atom: 14
Raw formation energy, kcal/mol of atoms: -34.39

=====

Entry 2:
Na5MnCl8 | PBE | optimized geometry

Cell: 8.215 8.215 8.215 Å, 60.00 60.00 60.00°
Element x y z (fractional)
Na: 0.000 0.000 0.000
Na: 0.086 0.638 0.638
Na: 0.638 0.086 0.638
Na: 0.638 0.638 0.086
Na: 0.638 0.638 0.638
Mn: 0.250 0.250 0.250
Cl: 0.362 0.362 0.362
Cl: 0.362 0.362 0.914
Cl: 0.362 0.914 0.362
Cl: 0.394 0.869 0.869
Cl: 0.869 0.394 0.869
Cl: 0.869 0.869 0.394
Cl: 0.869 0.869 0.869
Cl: 0.914 0.362 0.362

## Properties
Raw formation energy, kcal/mol of atoms: -33.52

=====

Entry 3:
Na3Mn5Cl12 | PBE | optimized geometry

Cell: 13.716 13.716 13.716 Å, 109.47 109.47 109.47°
Element x y z (fractional)
Na: 0.125 0.250 0.375
Na: 0.125 0.375 0.750
Na: 0.250 0.375 0.125
Na: 0.250 0.875 0.625
Na: 0.375 0.125 0.250
Na: 0.375 0.750 0.125
Na: 0.625 0.250 0.875
Na: 0.625 0.875 0.750
Na: 0.750 0.125 0.375
Na: 0.750 0.625 0.875
Na: 0.875 0.625 0.250
Na: 0.875 0.750 0.625
Mn: 0.000 0.000 0.000
Mn: 0.000 0.000 0.500
Mn: 0.000 0.500 0.000
Mn: 0.000 0.500 0.500
Mn: 0.125 0.750 0.875
Mn: 0.125 0.875 0.250
Mn: 0.250 0.125 0.875
Mn: 0.250 0.625 0.375
Mn: 0.375 0.250 0.625
Mn: 0.375 0.625 0.750
Mn: 0.500 0.000 0.000
Mn: 0.500 0.000 0.500
Mn: 0.500 0.500 0.000
Mn: 0.500 0.500 0.500
Mn: 0.625 0.375 0.250
Mn: 0.625 0.750 0.375
Mn: 0.750 0.375 0.625
Mn: 0.750 0.875 0.125
Mn: 0.875 0.125 0.750
Mn: 0.875 0.250 0.125
Cl: 0.027 0.206 0.121
Cl: 0.027 0.322 0.907
Cl: 0.085 0.706 0.678
Cl: 0.085 0.879 0.407
Cl: 0.093 0.621 0.415
Cl: 0.093 0.973 0.678
Cl: 0.121 0.027 0.206
Cl: 0.121 0.593 0.915
Cl: 0.178 0.206 0.585
Cl: 0.178 0.473 0.593
Cl: 0.206 0.121 0.027
Cl: 0.206 0.585 0.178
Cl: 0.294 0.322 0.915
Cl: 0.294 0.473 0.379
Cl: 0.322 0.907 0.027
Cl: 0.322 0.915 0.294
Cl: 0.379 0.294 0.473
Cl: 0.379 0.585 0.907
Cl: 0.407 0.085 0.879
Cl: 0.407 0.822 0.527
Cl: 0.415 0.093 0.621
Cl: 0.415 0.822 0.794
Cl: 0.473 0.379 0.294
Cl: 0.473 0.593 0.178
Cl: 0.527 0.407 0.822
Cl: 0.527 0.621 0.706
Cl: 0.585 0.178 0.206
Cl: 0.585 0.907 0.379
Cl: 0.593 0.178 0.473
Cl: 0.593 0.915 0.121
Cl: 0.621 0.415 0.093
Cl: 0.621 0.706 0.527
Cl: 0.678 0.085 0.706
Cl: 0.678 0.093 0.973
Cl: 0.706 0.527 0.621
Cl: 0.706 0.678 0.085
Cl: 0.794 0.415 0.822
Cl: 0.794 0.879 0.973
Cl: 0.822 0.527 0.407
Cl: 0.822 0.794 0.415
Cl: 0.879 0.407 0.085
Cl: 0.879 0.973 0.794
Cl: 0.907 0.027 0.322
Cl: 0.907 0.379 0.585
Cl: 0.915 0.121 0.593
Cl: 0.915 0.294 0.322
Cl: 0.973 0.678 0.093
Cl: 0.973 0.794 0.879

## Properties
Raw formation energy, kcal/mol of atoms: -27.40

=====

- Look up the raw formation energy of the first one.
  -34.39 kcal/mol of atoms

=====

- Which of these has the highest raw formation energy?
  Na3Mn5Cl12